(1)
LaGd3: relaxed, PBEsol.

The structure belongs to space group I4/mmm (No. 139); the cell edges are 4.992, 4.992 and 10.005 Å and the angles 90.00°, 90.00° and 90.00°. Symmetry generates all atoms from La at (0.000, 0.000, 0.000), Gd at (0.000, 0.000, 0.500) and Gd at (0.000, 0.500, 0.250).

The calculation puts the calculated volume at 249.3 Å³ per cell. Its mass density is 8.1 Mg/m³. The formation energy comes out at 0.016 eV per atom.

***

(2)
Sr2TaCl: relaxed, PBEsol.

The structure belongs to space group P4mm (No. 99); the cell edges are 5.902, 5.902 and 3.400 Å and the angles 90.00°, 90.00° and 90.00°. Symmetry generates all atoms from Sr at (0.000, 0.500, 0.000), Ta at (0.000, 0.000, 0.498) and Cl at (0.500, 0.500, 0.104).

The calculation puts the calculated volume at 118.5 Å³ per cell. Its mass density is 5.5 Mg/m³. The energy relative to the elements, uncorrected comes out at 0.1473 eV per atom.

***

no.,VASP energy (eV/cell),energy above the lowest structure with this stoichiometry (meV/atom)
1,-97.3,0
2,-17.7,0